# 1
This record from the Alexandria database describes crystalline TcIrSe at its relaxed geometry. The functional is PBE-GGA.

```
TcIrSe
1.0
-1.773 -0.375 7.422
0.673 -1.690 7.153
-0.077 2.639 0.902
Se Ir Tc
1 1 1
direct
0.326 0.326 0.674
0.012 0.012 0.988
0.662 0.662 0.338
```

- D(E_F) (states/eV per cell) = 2.23
- E_tot (eV per atom) = -7.043
- E_form (uncorrected) (eV per formula unit) = 1.583
- E above lowest polymorph (eV per atom) = 0.391

# 2
This record from the Alexandria database describes crystalline TcIr2Se at its relaxed geometry. The functional is PBE-GGA.

```
TcIr2Se
1.0
5.034 -0.003 -0.005
4.225 2.736 -0.005
0.088 0.026 4.448
Se Ir Tc
1 2 1
direct
0.750 0.750 0.750
0.976 0.976 0.009
0.524 0.524 0.491
0.250 0.250 0.250
```

- D(E_F) (states/eV per cell) = 3.09
- E_tot (eV per atom) = -7.656
- E_form (uncorrected) (eV per formula unit) = 0.949

# 3
This record from the Alexandria database describes crystalline TcIrSe3 at its relaxed geometry. The functional is PBE-GGA.

```
TcIrSe3
1.0
4.905 0.000 0.000
0.000 4.905 0.000
0.000 0.000 4.905
Tc Ir Se
1 1 3
direct
0.500 0.500 0.500
0.000 0.000 0.000
0.000 0.000 0.500
0.500 0.000 0.000
0.000 0.500 0.000
```

- D(E_F) (states/eV per cell) = 4.44
- E_tot (eV per atom) = -4.890
- E_form (uncorrected) (eV per formula unit) = 5.230
- E above lowest polymorph (eV per atom) = 0.000

# 4
This record from the Alexandria database describes crystalline TcIrSe2 at its relaxed geometry. The functional is PBE-GGA.

```
TcIrSe2
1.0
9.867 0.041 0.024
9.382 3.056 0.024
9.382 1.510 2.657
Tc Se Ir
1 2 1
direct
0.499 0.499 0.499
0.025 0.025 0.025
0.223 0.223 0.223
0.753 0.753 0.753
```

- D(E_F) (states/eV per cell) = 4.35
- E_tot (eV per atom) = -6.462
- E_form (uncorrected) (eV per formula unit) = 0.347
- E above lowest polymorph (eV per atom) = 0.034

# 5
This record from the Alexandria database describes crystalline TcIrSe2 at its relaxed geometry. The functional is PBE-GGA.

```
TcIrSe2
1.0
-0.377 -2.144 1.982
2.891 -0.551 -0.046
1.190 5.704 6.398
Se Ir Tc
2 1 1
direct
0.000 0.000 0.924
0.500 0.500 0.338
0.500 0.500 0.728
0.000 0.000 0.511
```

- D(E_F) (states/eV per cell) = 3.60
- E_tot (eV per atom) = -6.496
- E_form (uncorrected) (eV per formula unit) = 0.212
- E above lowest polymorph (eV per atom) = 0.000

# 6
This record from the Alexandria database describes crystalline Tc2IrSe2 at its relaxed geometry. The functional is PBE-GGA.

```
Tc2IrSe2
1.0
-0.643 3.631 -1.100
-3.791 -0.567 0.343
-1.979 3.214 5.038
Se Ir Tc
2 1 2
direct
0.750 0.250 0.500
0.250 0.750 0.500
0.000 0.000 0.000
0.393 0.393 0.214
0.607 0.607 0.786
```

- D(E_F) (states/eV per cell) = 3.62
- E_tot (eV per atom) = -6.747
- E_form (uncorrected) (eV per formula unit) = 2.826
- E above lowest polymorph (eV per atom) = 0.114